No. 1
Compound: Y2HoAl
Source: Alexandria
Functional: PBE-GGA
Structure: relaxed

Lattice parameters (Å, degrees): 5.3396 6.0508 6.6922 90.00 90.00 90.00
Fractional positions:
Y  0.0000  0.8366  0.7452
Al  0.5000  0.6641  0.5000
Y  0.5000  0.1634  0.7548
Y  0.0000  0.8366  0.2548
Ho  0.5000  0.6283  0.0000
Al  0.0000  0.3359  0.0000
Y  0.5000  0.1634  0.2452
Ho  0.0000  0.3717  0.5000

Calculated values
The calculation puts the excess energy over the best structure of this formula in the dataset at 0.032 eV/atom. The magnetic moment is 0.000 μB/atom. For the total DFT energy (no corrections), the calculation gives -43.876 eV for the cell shown.

---

No. 2
Compound: Y3Ho4Al4
Source: Alexandria
Functional: PBE-GGA
Structure: relaxed

Lattice parameters (Å, degrees): 5.1235 6.7198 9.4843 110.75 105.67 90.00
Fractional positions:
Al  0.5000  0.7969  0.0000
Ho  0.3201  0.5553  0.6401
Y  0.0000  0.5000  0.0000
Ho  0.6799  0.9152  0.3599
Ho  0.6799  0.4447  0.3599
Y  0.1000  0.1000  0.2000
Al  0.5000  0.2031  0.0000
Al  0.8265  0.3265  0.6529
Y  0.9000  0.9000  0.8000
Al  0.1735  0.6735  0.3471
Ho  0.3201  0.0848  0.6401

Calculated values
The magnetic moment is 0.000 μB/atom. For the total DFT energy (no corrections), the calculation gives -54.838 eV for the cell shown.

---

No. 3
Compound: Y2Ho3Al2
Source: Alexandria
Functional: PBE-GGA
Structure: relaxed

Lattice parameters (Å, degrees): 3.4526 3.4550 16.1744 90.00 83.87 90.00
Each line ends with the local moment (μB).
Fractional positions:
Ho  0.8789  0.0000  0.2422  0.02
Y  0.7021  0.5000  0.5959  0.12
Ho  0.0000  0.0000  0.0000  0.03
Ho  0.1211  0.0000  0.7578  0.02
Al  0.4392  0.5000  0.1217  0.00
Al  0.5608  0.5000  0.8783  0.00
Y  0.2979  0.5000  0.4041  0.12

Calculated values
The calculation puts the excess energy over the best structure of this formula in the dataset at 0.058 eV/atom. The magnetic moment is 0.076 μB/atom. For the total DFT energy (no corrections), the calculation gives -35.256 eV for the cell shown.

---

No. 4
Compound: Y3Ho2Al2
Source: Alexandria
Functional: PBE-GGA
Structure: relaxed

Lattice parameters (Å, degrees): 3.4446 3.4599 16.2378 90.00 83.91 90.00
Each line ends with the local moment (μB).
Fractional positions:
Y  0.8774  0.0000  0.2453  0.00
Ho  0.2967  0.5000  0.4065  0.08
Al  0.4383  0.5000  0.1233  0.00
Ho  0.7033  0.5000  0.5935  0.08
Al  0.5617  0.5000  0.8767  0.00
Y  0.0000  0.0000  0.0000  0.01
Y  0.1226  0.0000  0.7547  0.00

Calculated values
The magnetic moment is 0.037 μB/atom. For the total DFT energy (no corrections), the calculation gives -37.156 eV for the cell shown.

---

No. 5
Compound: Y4HoAl2
Source: Alexandria
Functional: PBE-GGA
Structure: relaxed

Lattice parameters (Å, degrees): 5.0358 5.0358 10.4477 76.05 76.05 60.00
Fractional positions:
Y  0.8966  0.8966  0.3102
Al  0.4005  0.4005  0.7984
Y  0.7026  0.7026  0.8921
Y  0.1034  0.1034  0.6898
Al  0.5995  0.5995  0.2016
Y  0.2974  0.2974  0.1079
Ho  0.5000  0.5000  0.5000

Calculated values
The calculation puts the excess energy over the best structure of this formula in the dataset at 0.287 eV/atom. The magnetic moment is 0.000 μB/atom. For the total DFT energy (no corrections), the calculation gives -37.374 eV for the cell shown.

---

No. 6
Compound: Y3HoAl2
Source: Alexandria
Functional: PBE-GGA
Structure: relaxed

Lattice parameters (Å, degrees): 5.2673 7.4074 9.2958 113.48 106.46 90.00
Fractional positions:
Y  0.8190  0.5690  0.6381
Y  0.5000  0.7500  0.0000
Ho  0.0000  0.5000  0.0000
Al  0.3468  0.8466  0.6933
Al  0.6532  0.1534  0.3067
Ho  0.0000  0.0000  0.0000
Y  0.1810  0.4310  0.3619
Y  0.1810  0.9310  0.3619
Al  0.3465  0.3466  0.6933
Y  0.8190  0.0690  0.6381
Y  0.5000  0.2500  0.0000
Al  0.6535  0.6534  0.3067

Calculated values
The calculation puts the excess energy over the best structure of this formula in the dataset at 0.098 eV/atom. The magnetic moment is 0.001 μB/atom. For the total DFT energy (no corrections), the calculation gives -65.471 eV for the cell shown.